# ReNiPb2

A geometry-optimized ReNiPb2 structure (PBE, Alexandria via LeMat-Bulk).

Calculated values
- Calculated formation energy: 0.45 eV per atom
- Calculated total energy: -23.86 eV/cell
- SG: P4mm, No. 99
- Total magnetization: 0.00 μB per cell
- N(E_F): 4.111 states/eV per cell

Cell lengths 3.0720, 3.0720, 9.2569 Å; angles 90.00, 90.00, 90.00 degrees
Positions (direct):
Re  0.0000  0.0000  0.0000
Ni  0.5000  0.5000  0.1422
Pb  0.0000  0.0000  0.3563
Pb  0.5000  0.5000  0.7588